Record 1
Entry from Alexandria: crystalline Th5Tl2Tc at its relaxed geometry (GGA-PBE).

Results
Energy = -6.20 eV/atom
Distance to the lowest polymorph of the same formula = 0.455 eV/atom

Lattice parameters (Å, degrees): 5.394 8.764 13.014 90.00 90.00 107.92
Fractional coordinates of all 16 atoms:
Tl 0.116 0.232 0.861
Tl 0.116 0.232 0.639
Tl 0.884 0.768 0.139
Tl 0.884 0.768 0.361
Th 0.700 0.401 0.250
Th 0.300 0.599 0.750
Th 0.076 0.153 0.097
Th 0.076 0.153 0.403
Th 0.924 0.847 0.903
Th 0.295 0.590 0.438
Th 0.705 0.410 0.562
Th 0.295 0.590 0.062
Th 0.924 0.847 0.597
Th 0.705 0.410 0.938
Tc 0.186 0.373 0.250
Tc 0.814 0.627 0.750

---

Record 2
Entry from Alexandria: crystalline Th6Tl2Tc at its relaxed geometry (GGA-PBE).

Results
Energy = -6.77 eV/atom

Lattice parameters (Å, degrees): 3.811 8.946 8.946 120.00 90.00 90.00
Fractional coordinates of all 9 atoms:
Tl 0.000 0.333 0.667
Tl 0.000 0.667 0.333
Th 0.000 0.243 0.000
Th 0.000 0.000 0.243
Th 0.500 0.000 0.609
Th 0.000 0.757 0.757
Th 0.500 0.608 0.000
Th 0.500 0.391 0.391
Tc 0.500 0.000 0.000